Entry 1:
Material: AlGaAs2Se
Method: DFT, meta-GGA SCAN
State: PBEsol geometry

Lattice parameters (Å, degrees): 4.8378 4.8378 4.9370 90.00 90.00 90.00
With the nearest neighbours (Å) after each atom.
Element x y z (fractional)
As (0.0000, 0.5000, 0.0000)  2 Ga 2.42
As (0.5000, 0.0000, 0.0000)  2 Ga 2.42
Ga (0.0000, 0.0000, 0.0000)  4 As 2.42, 2 Se 2.47
Se (0.0000, 0.0000, 0.5000)  2 Ga 2.47
Al (0.5000, 0.5000, 0.5000)  4 Se 3.42, 8 As 3.46

Its symmetry is No. 123. The calculation puts the final energy at -81.1 eV per formula unit. The calculation puts the density at 4.68 Mg/m³. As for the formation energy (no corrections): 0.6933 eV per atom. As for the volume: 115.5 Å³ per cell.



Entry 2:
Material: CsSnMo2I
Method: DFT, meta-GGA SCAN
State: PBEsol geometry

Lattice parameters (Å, degrees): 5.3207 5.3207 6.6643 90.00 90.00 90.00
With the nearest neighbours (Å) after each atom.
Element x y z (fractional)
Cs (0.5000, 0.5000, 0.5000)  4 I 3.76
I (0.0000, 0.0000, 0.5000)  2 Sn 3.33
Mo (0.0000, 0.5000, 0.0000)  2 Sn 2.66
Mo (0.5000, 0.0000, 0.0000)  2 Sn 2.66
Sn (0.0000, 0.0000, 0.0000)  4 Mo 2.66

Its symmetry is No. 123. The calculation puts the final energy at -174.8 eV per formula unit. The calculation puts the density at 5.02 Mg/m³. As for the formation energy (no corrections): 1.0883 eV per atom. As for the volume: 188.7 Å³ per cell.